Record 1
# KPmTaO5 PBE relaxed
# Total magnetization (μB per cell): 4.00
# Crystal system: monoclinic
data_KPmTaO5
_symmetry_space_group_name_H-M 'C 1 2/c 1'
_symmetry_Int_Tables_number 15
_symmetry_space_group_name_Hall '-C 2yc'
_cell_length_a 7.545
_cell_length_b 10.324
_cell_length_c 8.775
_cell_angle_alpha 90.00
_cell_angle_beta 111.46
_cell_angle_gamma 90.00
loop_
_atom_site_label
_atom_site_fract_x
_atom_site_fract_y
_atom_site_fract_z
_atom_site_occupancy
K1 0.000 0.163 0.250 1
Pm1 0.000 0.500 0.000 1
Ta1 0.000 0.190 0.750 1
O1 0.000 0.419 0.250 1
O2 0.098 0.295 0.627 1
O3 0.189 0.079 0.887 1

=====

Record 2
# K2PmTaO6 PBE relaxed
# Total magnetization (μB per cell): 8.13
# Crystal system: cubic
data_K2PmTaO6
_symmetry_space_group_name_H-M 'F m -3 m'
_symmetry_Int_Tables_number 225
_symmetry_space_group_name_Hall '-F 4 2 3'
_cell_length_a 8.685
_cell_length_b 8.685
_cell_length_c 8.685
_cell_angle_alpha 90.00
_cell_angle_beta 90.00
_cell_angle_gamma 90.00
loop_
_atom_site_label
_atom_site_fract_x
_atom_site_fract_y
_atom_site_fract_z
_atom_site_occupancy
K1 0.250 0.250 0.250 1
Pm1 0.000 0.000 0.000 1
Ta1 0.000 0.000 0.500 1
O1 0.000 0.000 0.270 1

=====

Record 3
# KPmTa2O7 PBE relaxed
# Total magnetization (μB per cell): 0.00
# Crystal system: tetragonal
data_KPmTa2O7
_symmetry_space_group_name_H-M 'P 4/m m m'
_symmetry_Int_Tables_number 123
_symmetry_space_group_name_Hall '-P 4 2'
_cell_length_a 3.885
_cell_length_b 3.885
_cell_length_c 11.213
_cell_angle_alpha 90.00
_cell_angle_beta 90.00
_cell_angle_gamma 90.00
loop_
_atom_site_label
_atom_site_fract_x
_atom_site_fract_y
_atom_site_fract_z
_atom_site_occupancy
K1 0.000 0.000 0.000 1
Pm1 0.000 0.000 0.500 1
Ta1 0.500 0.500 0.298 1
O1 0.000 0.500 0.339 1
O2 0.500 0.500 0.137 1
O3 0.500 0.500 0.500 1

=====

Number 1: raw formation energy -2.5515 eV/atom. Number 2: raw formation energy -2.2928 eV/atom. Number 3: raw formation energy -2.8856 eV/atom.